(1)
Sm3YC2 PBE-GGA optimized geometry; calculated formation energy = -1.07 eV per formula unit; DOS(E_F) = 4.3 states/eV/f.u.; total magnetization = 0.002 μB per formula unit; calculated volume = 295.38 Å³ per cell; VASP energy = -0.4917 Ry/atom; SG = P-3m1, No. 164
1.0
-3.230 -3.890 4.043
-2.891 -3.491 -5.669
6.284 -2.268 2.839
Y C Sm
2 4 6
direct
0.204 0.333 0.667
0.796 0.667 0.333
0.000 0.000 0.000
0.000 0.000 0.500
0.000 0.500 0.000
0.000 0.500 0.500
0.217 0.333 0.166
0.783 0.166 0.333
0.783 0.667 0.834
0.783 0.166 0.834
0.217 0.834 0.166
0.217 0.834 0.667

(2)
SmYC4 PBE-GGA optimized geometry; calculated formation energy = -1.00 eV per formula unit; DOS(E_F) = 1.6 states/eV/f.u.; total magnetization = 0.000 μB per formula unit; calculated volume = 87.71 Å³ per cell; VASP energy = -0.6012 Ry/atom; SG = C2/m, No. 12
1.0
3.587 0.000 1.037
1.758 3.659 0.640
0.010 -0.050 6.684
Sm C Y
1 4 1
direct
0.000 0.000 0.000
0.699 0.910 0.691
0.197 0.401 0.206
0.301 0.090 0.309
0.803 0.599 0.794
0.500 0.500 0.500

(3)
Sm2YC PBE-GGA optimized geometry; calculated formation energy = 0.05 eV per formula unit; DOS(E_F) = 4.2 states/eV/f.u.; total magnetization = 0.001 μB per formula unit; calculated volume = 110.56 Å³ per cell; VASP energy = -0.4607 Ry/atom; SG = R-3m, No. 166
1.0
3.599 0.000 0.000
1.799 3.117 0.000
1.799 1.039 9.857
Sm C Y
2 1 1
direct
0.120 0.120 0.641
0.880 0.880 0.359
0.500 0.500 0.500
0.000 0.000 0.000

(4)
Sm2Y4C PBE-GGA optimized geometry; calculated formation energy = -0.79 eV per formula unit; DOS(E_F) = 7.0 states/eV/f.u.; total magnetization = 0.000 μB per formula unit; calculated volume = 203.45 Å³ per cell; VASP energy = -0.4757 Ry/atom; SG = R-3m, No. 166
1.0
-1.070 0.343 3.426
-3.067 -1.548 1.094
7.731 -15.387 5.851
Y Sm C
4 2 1
direct
0.140 0.140 0.580
0.642 0.642 0.075
0.358 0.358 0.925
0.860 0.860 0.420
0.246 0.246 0.263
0.754 0.754 0.737
0.000 0.000 0.000

(5)
SmY2C PBE-GGA optimized geometry; calculated formation energy = -0.36 eV per formula unit; DOS(E_F) = 4.6 states/eV/f.u.; total magnetization = 0.003 μB per formula unit; calculated volume = 107.18 Å³ per cell; VASP energy = -0.5003 Ry/atom; SG = R-3m, No. 166
1.0
3.552 0.000 0.000
1.776 3.076 0.000
1.776 1.025 9.811
Y Sm C
2 1 1
direct
0.121 0.121 0.637
0.879 0.879 0.363
0.000 0.000 0.000
0.500 0.500 0.500

(6)
SmY2C3 PBE-GGA optimized geometry; calculated formation energy = -0.32 eV per formula unit; DOS(E_F) = 3.1 states/eV/f.u.; total magnetization = 0.000 μB per formula unit; calculated volume = 225.41 Å³ per cell; VASP energy = -0.5591 Ry/atom; SG = Imma, No. 74
1.0
5.063 0.000 2.676
1.797 6.232 2.728
-0.466 0.395 7.010
C Sm Y
6 2 4
direct
0.619 0.000 0.000
0.000 0.000 0.500
0.381 0.000 0.000
0.881 0.500 0.500
0.500 0.000 0.500
0.119 0.500 0.500
0.750 0.716 0.784
0.250 0.284 0.216
0.423 0.744 0.410
0.077 0.090 0.756
0.923 0.910 0.244
0.577 0.256 0.590

(7)
SmY3C2 PBE-GGA optimized geometry; calculated formation energy = -1.41 eV per formula unit; DOS(E_F) = 4.5 states/eV/f.u.; total magnetization = 0.498 μB per formula unit; calculated volume = 285.47 Å³ per cell; VASP energy = -0.5386 Ry/atom; SG = P-3m1, No. 164
1.0
-4.117 4.535 -1.576
3.860 1.445 -5.927
-5.299 -4.897 -0.248
Sm C Y
2 4 6
direct
0.225 0.333 0.667
0.775 0.667 0.333
0.000 0.500 0.000
0.000 0.000 0.000
0.000 0.500 0.500
0.000 0.000 0.500
0.212 0.833 0.666
0.788 0.167 0.334
0.788 0.167 0.833
0.212 0.833 0.167
0.788 0.666 0.833
0.212 0.334 0.167

(8)
Sm12Zn3C5 PBE-GGA optimized geometry; calculated formation energy = 0.03 eV per formula unit; DOS(E_F) = 17.3 states/eV/f.u.; total magnetization = 0.000 μB per formula unit; calculated volume = 2063.60 Å³ per cell; VASP energy = -0.3915 Ry/atom; SG = Ia-3d, No. 230
1.0
-11.821 -7.265 0.668
5.411 -1.122 -12.745
9.025 -4.974 9.316
C Sm Zn
20 48 12
direct
0.750 0.125 0.875
0.500 0.000 0.500
0.000 0.000 0.000
0.375 0.125 0.750
0.125 0.750 0.375
0.000 0.500 0.000
0.000 0.000 0.500
0.750 0.625 0.375
0.875 0.625 0.750
0.250 0.875 0.125
0.500 0.500 0.500
0.500 0.500 0.000
0.875 0.250 0.625
0.625 0.750 0.875
0.000 0.500 0.500
0.125 0.375 0.250
0.375 0.250 0.125
0.500 0.000 0.000
0.625 0.875 0.250
0.250 0.375 0.625
0.182 0.094 0.978
0.818 0.911 0.296
0.022 0.615 0.704
0.478 0.682 0.094
0.885 0.296 0.478
0.978 0.594 0.182
0.682 0.478 0.594
0.704 0.115 0.022
0.594 0.615 0.411
0.385 0.978 0.796
0.022 0.406 0.818
0.318 0.796 0.411
0.906 0.818 0.522
0.522 0.204 0.115
0.115 0.704 0.522
0.406 0.385 0.589
0.911 0.818 0.796
0.296 0.411 0.818
0.796 0.318 0.911
0.296 0.885 0.978
0.615 0.022 0.204
0.911 0.094 0.615
0.204 0.682 0.089
0.478 0.796 0.885
0.589 0.885 0.406
0.094 0.911 0.115
0.796 0.478 0.385
0.115 0.411 0.094
0.589 0.704 0.682
0.385 0.406 0.089
0.318 0.522 0.406
0.704 0.589 0.182
0.978 0.385 0.296
0.906 0.089 0.885
0.411 0.115 0.594
0.615 0.594 0.911
0.089 0.906 0.385
0.818 0.906 0.022
0.204 0.522 0.615
0.594 0.978 0.682
0.094 0.182 0.478
0.089 0.182 0.204
0.182 0.089 0.704
0.411 0.296 0.318
0.522 0.318 0.906
0.682 0.204 0.589
0.885 0.589 0.906
0.406 0.022 0.318
0.625 0.375 0.750
0.875 0.125 0.250
0.250 0.125 0.375
0.375 0.625 0.250
0.625 0.250 0.375
0.750 0.875 0.625
0.750 0.375 0.125
0.375 0.750 0.625
0.125 0.875 0.750
0.250 0.625 0.875
0.875 0.750 0.125
0.125 0.250 0.875

(9)
SmZnC PBE-GGA optimized geometry; calculated formation energy = 0.22 eV per formula unit; DOS(E_F) = 1.9 states/eV/f.u.; total magnetization = 0.000 μB per formula unit; calculated volume = 123.00 Å³ per cell; VASP energy = -0.3673 Ry/atom; SG = I4/mmm, No. 139; relative energy among the computed polymorphs = 0.956 eV/f.u.
1.0
3.751 0.000 0.000
0.000 3.751 0.000
-1.875 -1.875 8.744
Sm Zn C
2 2 2
direct
0.320 0.320 0.640
0.680 0.680 0.360
0.933 0.933 0.865
0.067 0.067 0.135
0.179 0.179 0.359
0.821 0.821 0.641

(10)
SmZnC PBE-GGA optimized geometry; calculated formation energy = -0.73 eV per formula unit; DOS(E_F) = 1.8 states/eV/f.u.; total magnetization = 0.000 μB per formula unit; calculated volume = 112.23 Å³ per cell; VASP energy = -0.3907 Ry/atom; SG = C2/m, No. 12; relative energy among the computed polymorphs = 0.000 eV/f.u.
1.0
-0.264 1.905 3.313
2.704 -3.339 -0.080
4.316 5.849 -3.019
Sm Zn C
2 2 2
direct
0.095 0.189 0.811
0.905 0.811 0.189
0.655 0.311 0.497
0.345 0.689 0.503
0.414 0.828 0.958
0.586 0.172 0.042

(11)
Sm2ZnC PBE-GGA optimized geometry; calculated formation energy = 0.21 eV per formula unit; DOS(E_F) = 2.9 states/eV/f.u.; total magnetization = 0.000 μB per formula unit; calculated volume = 103.48 Å³ per cell; VASP energy = -0.3625 Ry/atom; SG = R-3m, No. 166
1.0
-1.504 -2.715 -1.844
0.438 -3.404 1.121
-7.923 -1.327 4.884
C Sm Zn
1 2 1
direct
0.500 0.500 0.500
0.884 0.884 0.349
0.116 0.116 0.651
0.000 0.000 0.000

(12)
Sm4Zn2C PBE-GGA optimized geometry; calculated formation energy = 0.63 eV per formula unit; DOS(E_F) = 9.6 states/eV/f.u.; total magnetization = 0.000 μB per formula unit; calculated volume = 369.56 Å³ per cell; VASP energy = -0.3152 Ry/atom; SG = I4/mmm, No. 139
1.0
5.016 0.000 0.000
0.000 5.016 0.000
2.508 2.508 14.686
C Sm Zn
1 4 2
direct
0.000 0.000 0.000
0.000 0.500 0.000
0.500 0.000 0.000
0.080 0.080 0.840
0.920 0.920 0.160
0.435 0.435 0.131
0.565 0.565 0.869